(1)
Entry from OQMD via LeMat-Bulk: crystalline CsZn at its relaxed geometry (PBE).

abc: 9.4645 9.6951 6.4805
angles: 90.00 90.00 107.67
Closest atoms and distances in Å follow each position.
Element x y z (fractional)
Cs 0.3131 0.2933 0.0000  5 Zn 3.79-4.13, 1 Cs 4.15
Cs 0.7955 0.4415 0.0000  4 Zn 3.67-3.93
Cs 0.2852 0.8582 0.0000  5 Zn 3.58-3.94
Cs 0.9375 0.1978 0.5000  5 Zn 3.57-3.95
Cs 0.4258 0.6145 0.5000  4 Zn 3.67-3.93
Cs 0.9082 0.7622 0.5000  5 Zn 3.78-4.13, 1 Cs 4.15
Zn 0.6749 0.0445 0.0000  2 Zn 2.61-2.62
Zn 0.6531 0.7689 0.0000  2 Zn 2.62-2.63
Zn 0.9150 0.9650 0.0000  2 Zn 2.61-2.63
Zn 0.5485 0.0114 0.5000  2 Zn 2.61-2.62
Zn 0.3078 0.0894 0.5000  2 Zn 2.61-2.62
Zn 0.5685 0.2867 0.5000  2 Zn 2.62


(2)
Entry from OQMD via LeMat-Bulk: crystalline CsZn at its relaxed geometry (PBE).

abc: 8.8181 8.8181 5.1156
angles: 90.00 90.00 120.11
Closest atoms and distances in Å follow each position.
Element x y z (fractional)
Cs 0.9996 0.0004 0.0000  6 Cs 3.86
Cs 0.3793 0.1893 0.5000  4 Cs 3.80-3.86, 4 Zn 4.01-4.02
Cs 0.8104 0.1896 0.5000  4 Cs 3.80-3.86, 4 Zn 4.01
Cs 0.8107 0.6207 0.5000  4 Cs 3.80-3.86, 4 Zn 4.01-4.02
Zn 0.4348 0.5652 0.0000  4 Zn 2.68-2.99
Zn 0.1305 0.5652 0.0000  4 Zn 2.68-2.99
Zn 0.4348 0.8695 0.0000  4 Zn 2.68-2.99
Zn 0.3334 0.6666 0.5000  6 Zn 2.99


(3)
Entry from OQMD via LeMat-Bulk: crystalline CsZn3 at its relaxed geometry (PBE).

abc: 6.8508 7.5455 4.4181
angles: 90.00 90.00 90.00
Closest atoms and distances in Å follow each position.
Element x y z (fractional)
Cs 0.1082 0.0000 0.0000  6 Zn 3.64-4.01
Cs 0.2251 0.5000 0.5000  6 Zn 3.64-4.01
Zn 0.6131 0.1749 0.0000  6 Zn 2.55-2.64
Zn 0.7129 0.5000 0.0000  6 Zn 2.55-2.57
Zn 0.6131 0.8251 0.0000  6 Zn 2.55-2.64
Zn 0.6205 0.0000 0.5000  6 Zn 2.55-2.57
Zn 0.7203 0.3251 0.5000  6 Zn 2.55-2.64
Zn 0.7203 0.6749 0.5000  6 Zn 2.55-2.64


(4)
Entry from OQMD via LeMat-Bulk: crystalline CsZn at its relaxed geometry (PBE).

abc: 5.4979 5.0512 6.6308
angles: 90.00 90.00 90.00
Closest atoms and distances in Å follow each position.
Element x y z (fractional)
Cs 0.5228 0.5000 0.0000  6 Zn 3.66-3.81
Cs 0.3105 0.0000 0.5000  6 Zn 3.66-3.81
Zn 0.0050 0.0000 0.0000  6 Cs 3.66-3.81
Zn 0.8283 0.5000 0.5000  6 Cs 3.66-3.81


no.,V (Å³ per cell),energy above the most stable polymorph in this dataset (meV/atom)
1,566.58,85
2,344.10,232
3,228.38,0
4,184.14,226